DFT (GGA-PBE) results for crystalline TcAsOs2 at its relaxed geometry.

The structure belongs to space group P2/m (No. 10); the cell edges are 2.825, 4.080 and 5.253 Å and the angles 90.00°, 104.37° and 90.00°. The inequivalent atoms are Tc at (0.000, 0.000, 0.000), As at (0.000, 0.000, 0.500) and Os at (0.372, 0.500, 0.744).

The density of states at the Fermi level is 2.90 states/eV per cell. The value obtained for the uncorrected energy is -36.44 eV/f.u. The spin magnetization is 0.0 Bohr magnetons per cell.



DFT (GGA-PBE) results for crystalline TcAsOs2 at its relaxed geometry.

The structure belongs to space group Cmmm (No. 65); the cell edges are 5.810, 7.120 and 2.848 Å and the angles 90.00°, 90.00° and 90.00°. The inequivalent atoms are Tc at (0.000, 0.000, 0.000), As at (0.000, 0.500, 0.000) and Os at (0.250, 0.250, 0.500).

The density of states at the Fermi level is 7.84 states/eV per cell. The value obtained for the uncorrected energy is -35.54 eV/f.u. The spin magnetization is 0.0 Bohr magnetons per cell.



DFT (GGA-PBE) results for crystalline TcAsOs at its relaxed geometry.

The structure belongs to space group I4mm (No. 107); the cell edges are 2.950, 2.950 and 10.019 Å and the angles 90.00°, 90.00° and 90.00°. The inequivalent atoms are Tc at (0.000, 0.000, 0.000), As at (0.000, 0.000, 0.661) and Os at (0.000, 0.000, 0.325).

For the energy above the lowest structure with this stoichiometry, the calculation gives 123 meV per atom. The density of states at the Fermi level is 3.36 states/eV per cell. The value obtained for the uncorrected energy is -25.77 eV/f.u. The spin magnetization is 0.0 Bohr magnetons per cell.



DFT (GGA-PBE) results for crystalline TcAsOs at its relaxed geometry.

The structure belongs to space group F-43m (No. 216); the cell edges are 5.905, 5.905 and 5.905 Å and the angles 90.00°, 90.00° and 90.00°. The inequivalent atoms are Tc at (0.000, 0.000, 0.000), As at (0.000, 0.000, 0.500) and Os at (0.250, 0.250, 0.250).

For the energy above the lowest structure with this stoichiometry, the calculation gives 198 meV per atom. The density of states at the Fermi level is 13.24 states/eV per cell. The value obtained for the uncorrected energy is -25.55 eV/f.u. The spin magnetization is 0.0 Bohr magnetons per cell.



DFT (GGA-PBE) results for crystalline TcAsOs2 at its relaxed geometry.

The structure belongs to space group R3m (No. 160, hexagonal axes); the cell edges are 2.8191, 2.8191 and 25.4575 Å and the angles 90.00°, 90.00° and 120.00°. The inequivalent atoms are Tc at (0.0000, 0.0000, 0.0000), As at (0.0000, 0.0000, 0.2517), Os at (0.0000, 0.0000, 0.5035) and Os at (0.0000, 0.0000, 0.7518).

The density of states at the Fermi level is 11.36 states/eV per cell. The value obtained for the uncorrected energy is -36.55 eV/f.u. The spin magnetization is 0.0 Bohr magnetons per cell.



DFT (GGA-PBE) results for crystalline TcAsOs2 at its relaxed geometry.

The structure belongs to space group C2/m (No. 12); the cell edges are 9.341, 2.828 and 4.515 Å and the angles 90.00°, 93.76° and 90.00°. The inequivalent atoms are Tc at (0.000, 0.000, 0.000), As at (0.000, 0.500, 0.500) and Os at (0.229, 0.500, 0.238).

The density of states at the Fermi level is 5.84 states/eV per cell. The value obtained for the uncorrected energy is -36.38 eV/f.u. The spin magnetization is 0.0 Bohr magnetons per cell.



no.,ΔE_f (kcal/mol of atoms)
1,6.0
2,11.1
3,3.6
4,5.3
5,5.3
6,6.3